# CePr4Pb4 | the Alexandria database | PBE | relaxed
# - M_tot: 0.16 μB per atom
# - Formation energy from the elements: -28.2 kJ per mole of atoms
# - DOS(E_F): 27.5 states/eV/cell
data_CePr4Pb4
_symmetry_space_group_name_H-M 'P 42/n'
_symmetry_Int_Tables_number 86
_cell_length_a 10.164
_cell_length_b 10.164
_cell_length_c 6.485
_cell_angle_alpha 90.00
_cell_angle_beta 90.00
_cell_angle_gamma 90.00
loop_
_symmetry_equiv_pos_as_xyz
'x,y,z'
'-x,-y,-z'
'-y,x+1/2,z+1/2'
'y,-x+1/2,-z+1/2'
'-x+1/2,-y+1/2,z'
'x+1/2,y+1/2,-z'
'y+1/2,-x,z+1/2'
'-y+1/2,x,-z+1/2'
loop_
_atom_site_label
_atom_site_fract_x
_atom_site_fract_y
_atom_site_fract_z
Ce1 0.250 0.250 0.250
Pr1 0.047 0.652 0.249
Pb1 0.045 0.653 0.748